A geometry-optimized Ce3ZnSi6Pd2 structure. Source: Alexandria, functional PBE.

The calculation puts the total energy at -0.409 Ry/atom.

The space group is P-3m1 (No. 164) and the conventional cell measures 5.6998, 5.6998 and 8.2821 Å, with angles of 90.00, 90.00 and 120.00 degrees. The asymmetric unit holds Ce at (0.0000, 0.0000, 0.0000), Ce at (0.3333, 0.6667, 0.6131), Zn at (0.0000, 0.0000, 0.5000), Si at (0.1894, 0.3788, 0.2811) and Pd at (0.3333, 0.6667, 0.0329).